No. 1
## MgScTa2 (PBE-GGA)

Data for an optimized crystal structure of MgScTa2.

Cell: 2.899 4.724 6.014 Å, 90.00 102.95 90.00°
Space group Pm (No. 6)
Unique sites:
Mg 0.000 0.000 0.000 [1 per cell]
Sc 0.686 0.500 0.278 [1 per cell]
Ta 0.280 0.500 0.732 [1 per cell]
Ta 0.465 0.000 0.526 [1 per cell]

Crystal system ... monoclinic
Total magnetization ... 0.0000 μB per atom
Energy of formation ... 0.218 eV/atom

***

No. 2
## Li2Mg2PPd4 (PBE-GGA)

Data for an optimized crystal structure of Li2Mg2PPd4.

Cell: 6.054 6.054 7.844 Å, 90.00 90.00 90.00°
Space group I4/mmm (No. 139)
Unique sites:
Li 0.000 0.000 0.205 [4 per cell]
Mg 0.000 0.500 0.250 [4 per cell]
P 0.000 0.000 0.500 [2 per cell]
Pd 0.236 0.236 0.000 [8 per cell]

Crystal system ... tetragonal
Total magnetization ... 0.0000 μB per atom
Energy of formation ... -0.537 eV/atom

***

No. 3
## K3NpCl6 (PBE-GGA)

Data for an optimized crystal structure of K3NpCl6.

Cell: 7.576 8.041 13.172 Å, 90.00 123.37 90.00°
Space group P2_1/c (No. 14)
Unique sites:
K 0.000 0.000 0.000 [2 per cell]
K 0.212 0.072 0.741 [4 per cell]
Np 0.500 0.000 0.500 [2 per cell]
Cl 0.150 0.181 0.440 [4 per cell]
Cl 0.246 0.721 0.419 [4 per cell]
Cl 0.399 0.061 0.268 [4 per cell]

Formation energy from raw total energies ... -1.8952 eV per atom
Crystal system ... monoclinic
Total magnetization ... 0.4000 μB per atom

***

No. 4
## KCdSnSe3 (PBE-GGA)

Data for an optimized crystal structure of KCdSnSe3.

Cell: 9.302 4.153 10.145 Å, 90.00 104.83 90.00°
Space group P2_1/m (No. 11)
Unique sites:
K 0.204 0.250 0.243 [2 per cell]
Cd 0.091 0.250 0.613 [2 per cell]
Sn 0.339 0.750 0.881 [2 per cell]
Se 0.125 0.250 0.883 [2 per cell]
Se 0.213 0.750 0.516 [2 per cell]
Se 0.457 0.750 0.156 [2 per cell]

Formation energy from raw total energies ... -0.6506 eV per atom
Crystal system ... monoclinic
Total magnetization ... 0.0000 μB per atom

***

No. 5
## La2ZrBr (PBE-GGA)

Data for an optimized crystal structure of La2ZrBr.

Cell: 9.630 9.630 5.315 Å, 90.00 90.00 90.00°
Space group I-42d (No. 122)
Unique sites:
La 0.166 0.250 0.125 [8 per cell]
Zr 0.000 0.000 0.500 [4 per cell]
Br 0.000 0.000 0.000 [4 per cell]

Formation energy from raw total energies ... 0.0034 eV per atom
Crystal system ... tetragonal
Total magnetization ... 0.0000 μB per atom

***

No. 6
## NiSbP2S (PBE-GGA)

Data for an optimized crystal structure of NiSbP2S.

Cell: 4.373 4.373 4.779 Å, 90.00 90.00 90.00°
Space group P4/mmm (No. 123)
Unique sites:
Ni 0.000 0.000 0.000 [1 per cell]
Sb 0.500 0.500 0.500 [1 per cell]
P 0.000 0.500 0.000 [2 per cell]
S 0.000 0.000 0.500 [1 per cell]

Formation energy from raw total energies ... 0.4568 eV per atom
Crystal system ... tetragonal
Total magnetization ... 0.1004 μB per atom